[1]
Entry from the Alexandria database: an optimized crystal structure of LiCuTeSe3 (PBE).

Calculated values
As for the uncorrected formation energy: -0.339 eV per atom. The value obtained for the volume is 276 Å³ per cell. The crystal system is monoclinic.

```
LiCuTeSe3
1.0
6.896 0.000 0.000
0.000 4.025 0.000
-2.492 0.000 9.945
Li Cu Te Se
2 2 2 6
Direct
0.154 0.250 0.184 Li
0.846 0.750 0.816 Li
0.085 0.750 0.568 Cu
0.915 0.250 0.432 Cu
0.351 0.250 0.830 Te
0.649 0.750 0.170 Te
0.036 0.750 0.324 Se
0.232 0.750 0.997 Se
0.453 0.750 0.670 Se
0.547 0.250 0.330 Se
0.768 0.250 0.003 Se
0.964 0.250 0.676 Se
```


[2]
Entry from the Alexandria database: an optimized crystal structure of Li2ThCu2Se4 (PBE).

Calculated values
As for the uncorrected formation energy: -1.020 eV per atom. The value obtained for the volume is 197 Å³ per cell. The crystal system is monoclinic.

```
Li2ThCu2Se4
1.0
7.394 -1.999 0.000
7.394 1.999 0.000
-4.044 0.000 6.660
Li Th Cu Se
2 1 2 4
Direct
0.134 0.134 0.180 Li
0.866 0.866 0.820 Li
0.000 0.000 0.500 Th
0.319 0.319 0.120 Cu
0.681 0.681 0.880 Cu
0.230 0.230 0.743 Se
0.490 0.490 0.763 Se
0.510 0.510 0.237 Se
0.770 0.770 0.257 Se
```


[3]
Entry from the Alexandria database: an optimized crystal structure of LiThCuSe3 (PBE).

Calculated values
As for the uncorrected formation energy: -1.190 eV per atom. The value obtained for the volume is 299 Å³ per cell. The crystal system is monoclinic.

```
LiThCuSe3
1.0
7.931 0.000 0.000
0.000 4.080 0.000
-1.819 0.000 9.235
Li Th Cu Se
2 2 2 6
Direct
0.185 0.250 0.295 Li
0.815 0.750 0.705 Li
0.314 0.750 0.825 Th
0.686 0.250 0.175 Th
0.082 0.250 0.581 Cu
0.918 0.750 0.419 Cu
0.060 0.250 0.839 Se
0.242 0.750 0.514 Se
0.416 0.750 0.152 Se
0.584 0.250 0.848 Se
0.758 0.250 0.486 Se
0.940 0.750 0.161 Se
```


[4]
Entry from the Alexandria database: an optimized crystal structure of LiTiCuSe3 (PBE).

Calculated values
As for the uncorrected formation energy: -0.907 eV per atom. The value obtained for the volume is 233 Å³ per cell. The crystal system is monoclinic.

```
LiTiCuSe3
1.0
7.325 0.000 0.000
0.000 3.658 0.000
-2.333 0.000 8.712
Li Ti Cu Se
2 2 2 6
Direct
0.231 0.250 0.277 Li
0.769 0.750 0.723 Li
0.314 0.750 0.821 Ti
0.686 0.250 0.179 Ti
0.084 0.250 0.595 Cu
0.916 0.750 0.405 Cu
0.082 0.250 0.857 Se
0.275 0.750 0.534 Se
0.423 0.750 0.136 Se
0.577 0.250 0.864 Se
0.725 0.250 0.466 Se
0.918 0.750 0.143 Se
```


[5]
Entry from the Alexandria database: an optimized crystal structure of Li2TiCu2Se4 (PBE).

Calculated values
As for the uncorrected formation energy: -0.809 eV per atom. The value obtained for the volume is 168 Å³ per cell. The crystal system is monoclinic.

```
Li2TiCu2Se4
1.0
7.105 -1.865 0.000
7.105 1.865 0.000
-3.557 0.000 6.346
Li Ti Cu Se
2 1 2 4
Direct
0.147 0.147 0.024 Li
0.853 0.853 0.976 Li
0.000 0.000 0.500 Ti
0.320 0.320 0.523 Cu
0.680 0.680 0.477 Cu
0.215 0.215 0.722 Se
0.491 0.491 0.240 Se
0.509 0.509 0.760 Se
0.785 0.785 0.278 Se
```


[6]
Entry from the Alexandria database: an optimized crystal structure of LiTiCu2Se4 (PBE).

Calculated values
As for the uncorrected formation energy: -0.522 eV per atom. The value obtained for the volume is 170 Å³ per cell. The crystal system is tetragonal.

```
LiTiCu2Se4
1.0
-3.419 3.419 3.629
3.419 -3.419 3.629
3.419 3.419 -3.629
Li Ti Cu Se
1 1 2 4
Direct
0.000 0.000 0.000 Li
0.500 0.500 0.000 Ti
0.250 0.750 0.500 Cu
0.750 0.250 0.500 Cu
0.092 0.479 0.000 Se
0.479 0.092 0.000 Se
0.521 0.521 0.612 Se
0.908 0.908 0.388 Se
```


[7]
Entry from the Alexandria database: an optimized crystal structure of Li3Ti3CuSe8 (PBE).

Calculated values
As for the uncorrected formation energy: -0.989 eV per atom. The value obtained for the volume is 298 Å³ per cell. The crystal system is monoclinic.

```
Li3Ti3CuSe8
1.0
6.341 -3.664 0.000
6.341 3.664 0.000
-4.227 0.000 6.423
Li Ti Cu Se
3 3 1 8
Direct
0.000 0.000 0.000 Li
0.000 0.500 0.000 Li
0.500 0.000 0.000 Li
0.000 0.500 0.500 Ti
0.500 0.000 0.500 Ti
0.500 0.500 0.500 Ti
0.000 0.000 0.500 Cu
0.244 0.244 0.729 Se
0.245 0.739 0.730 Se
0.254 0.254 0.262 Se
0.261 0.755 0.270 Se
0.739 0.245 0.730 Se
0.746 0.746 0.738 Se
0.755 0.261 0.270 Se
0.756 0.756 0.271 Se
```


[8]
Entry from the Alexandria database: an optimized crystal structure of LiTlCuSe2 (PBE).

Calculated values
As for the uncorrected formation energy: -0.505 eV per atom. The value obtained for the energy above the most stable polymorph in this dataset is 0.00 kJ per mole of atoms. The value obtained for the volume is 233 Å³ per cell. The crystal system is monoclinic.

```
LiTlCuSe2
1.0
6.731 -2.052 0.000
6.731 2.052 0.000
-5.935 0.000 8.418
Li Tl Cu Se
2 2 2 4
Direct
0.142 0.142 0.419 Li
0.858 0.858 0.581 Li
0.324 0.324 0.873 Tl
0.676 0.676 0.127 Tl
0.461 0.461 0.318 Cu
0.539 0.539 0.682 Cu
0.074 0.074 0.830 Se
0.336 0.336 0.422 Se
0.664 0.664 0.578 Se
0.926 0.926 0.170 Se
```


[9]
Entry from the Alexandria database: an optimized crystal structure of LiTl2CuSe2 (PBE).

Calculated values
As for the uncorrected formation energy: -0.519 eV per atom. The value obtained for the volume is 294 Å³ per cell. The crystal system is orthorhombic.

```
LiTl2CuSe2
1.0
-2.966 8.433 2.940
2.966 -8.433 2.940
2.966 8.433 -2.940
Li Tl Cu Se
2 4 2 4
Direct
0.250 0.250 0.000 Li
0.750 0.750 0.000 Li
0.168 0.743 0.911 Tl
0.332 0.243 0.575 Tl
0.668 0.757 0.425 Tl
0.832 0.257 0.089 Tl
0.250 0.750 0.500 Cu
0.750 0.250 0.500 Cu
0.088 0.254 0.343 Se
0.412 0.754 0.166 Se
0.588 0.246 0.834 Se
0.912 0.746 0.657 Se
```


[10]
Entry from the Alexandria database: an optimized crystal structure of LiTlCuSe2 (PBE).

Calculated values
As for the uncorrected formation energy: -0.087 eV per atom. The value obtained for the energy above the most stable polymorph in this dataset is 40.38 kJ per mole of atoms. The value obtained for the volume is 127 Å³ per cell. The crystal system is tetragonal.

```
LiTlCuSe2
1.0
5.003 0.000 0.000
0.000 5.003 0.000
0.000 0.000 5.076
Li Tl Cu Se
1 1 1 2
Direct
0.000 0.000 0.000 Li
0.500 0.500 0.000 Tl
0.500 0.500 0.500 Cu
0.000 0.500 0.500 Se
0.500 0.000 0.500 Se
```


[11]
Entry from the Alexandria database: an optimized crystal structure of Li2UCuSe4 (PBE).

Calculated values
As for the uncorrected formation energy: -0.913 eV per atom. The value obtained for the volume is 168 Å³ per cell. The crystal system is monoclinic.

```
Li2UCuSe4
1.0
6.387 0.000 0.000
0.000 4.030 0.000
-2.026 0.000 6.535
Li U Cu Se
2 1 1 4
Direct
0.000 0.000 0.000 Li
0.500 0.500 0.000 Li
0.000 0.500 0.500 U
0.500 0.000 0.500 Cu
0.250 0.500 0.248 Se
0.263 0.000 0.742 Se
0.737 0.000 0.258 Se
0.750 0.500 0.752 Se
```


[12]
Entry from the Alexandria database: an optimized crystal structure of Li3U2CuSe6 (PBE).

Calculated values
As for the uncorrected formation energy: -1.030 eV per atom. The value obtained for the volume is 264 Å³ per cell. The crystal system is monoclinic.

```
Li3U2CuSe6
1.0
3.423 -5.933 0.000
3.423 5.933 0.000
-2.278 0.000 6.496
Li U Cu Se
3 2 1 6
Direct
0.000 0.000 0.000 Li
0.333 0.667 0.000 Li
0.667 0.333 0.000 Li
0.167 0.833 0.500 U
0.833 0.167 0.500 U
0.500 0.500 0.500 Cu
0.089 0.416 0.249 Se
0.257 0.257 0.750 Se
0.416 0.089 0.249 Se
0.584 0.911 0.751 Se
0.743 0.743 0.250 Se
0.911 0.584 0.751 Se
```


[13]
Entry from the Alexandria database: an optimized crystal structure of Li4U3CuSe8 (PBE).

Calculated values
As for the uncorrected formation energy: -1.067 eV per atom. The value obtained for the volume is 358 Å³ per cell. The crystal system is monoclinic.

```
Li4U3CuSe8
1.0
6.888 -3.972 0.000
6.888 3.972 0.000
-4.590 0.000 6.533
Li U Cu Se
4 3 1 8
Direct
0.000 0.000 0.000 Li
0.000 0.500 0.000 Li
0.500 0.000 0.000 Li
0.500 0.500 0.000 Li
0.000 0.000 0.500 U
0.000 0.500 0.500 U
0.500 0.000 0.500 U
0.500 0.500 0.500 Cu
0.253 0.253 0.250 Se
0.254 0.742 0.251 Se
0.255 0.255 0.764 Se
0.258 0.746 0.749 Se
0.742 0.254 0.251 Se
0.745 0.745 0.236 Se
0.746 0.258 0.749 Se
0.747 0.747 0.750 Se
```


[14]
Entry from the Alexandria database: an optimized crystal structure of LiUCuSe3 (PBE).

Calculated values
As for the uncorrected formation energy: -0.932 eV per atom. The value obtained for the volume is 258 Å³ per cell. The crystal system is monoclinic.

```
LiUCuSe3
1.0
7.916 0.000 0.000
0.000 3.839 0.000
-1.809 0.000 8.502
Li U Cu Se
2 2 2 6
Direct
0.153 0.250 0.156 Li
0.847 0.750 0.844 Li
0.317 0.750 0.763 U
0.683 0.250 0.237 U
0.418 0.750 0.417 Cu
0.582 0.250 0.583 Cu
0.088 0.250 0.842 Se
0.255 0.250 0.494 Se
0.410 0.750 0.135 Se
0.590 0.250 0.865 Se
0.745 0.750 0.506 Se
0.912 0.750 0.158 Se
```


[15]
Entry from the Alexandria database: an optimized crystal structure of Li3U3CuSe8 (PBE).

Calculated values
As for the uncorrected formation energy: -1.024 eV per atom. The value obtained for the volume is 357 Å³ per cell. The crystal system is trigonal.

```
Li3U3CuSe8
1.0
3.966 2.289 6.547
-3.966 2.289 6.547
0.000 -4.579 6.547
Li U Cu Se
3 3 1 8
Direct
0.000 0.500 0.500 Li
0.500 0.000 0.500 Li
0.500 0.500 0.000 Li
0.000 0.000 0.500 U
0.000 0.500 0.000 U
0.500 0.000 0.000 U
0.500 0.500 0.500 Cu
0.255 0.255 0.255 Se
0.255 0.744 0.744 Se
0.256 0.256 0.745 Se
0.256 0.745 0.256 Se
0.744 0.255 0.744 Se
0.744 0.744 0.255 Se
0.745 0.256 0.256 Se
0.745 0.745 0.745 Se
```


[16]
Entry from the Alexandria database: an optimized crystal structure of LiY2CuSe4 (PBE).

Calculated values
As for the uncorrected formation energy: -1.383 eV per atom. The value obtained for the volume is 181 Å³ per cell. The crystal system is monoclinic.

```
LiY2CuSe4
1.0
6.817 0.000 0.000
0.000 4.041 0.000
-2.644 0.000 6.560
Li Y Cu Se
1 2 1 4
Direct
0.000 0.000 0.000 Li
0.500 0.000 0.500 Y
0.500 0.500 0.000 Y
0.000 0.500 0.500 Cu
0.233 0.000 0.735 Se
0.242 0.500 0.241 Se
0.758 0.500 0.759 Se
0.767 0.000 0.265 Se
```


[17]
Entry from the Alexandria database: an optimized crystal structure of LiZnCuSe2 (PBE).

Calculated values
As for the uncorrected formation energy: 0.339 eV per atom. The value obtained for the volume is 94 Å³ per cell. The crystal system is tetragonal.

```
LiZnCuSe2
1.0
4.716 0.000 0.000
0.000 4.716 0.000
0.000 0.000 4.236
Li Zn Cu Se
1 1 1 2
Direct
0.000 0.000 0.000 Li
0.500 0.500 0.500 Zn
0.000 0.000 0.500 Cu
0.000 0.500 0.000 Se
0.500 0.000 0.000 Se
```


[18]
Entry from the Alexandria database: an optimized crystal structure of Li2Zr2CuSe6 (PBE).

Calculated values
As for the uncorrected formation energy: -1.032 eV per atom. The value obtained for the volume is 245 Å³ per cell. The crystal system is monoclinic.

```
Li2Zr2CuSe6
1.0
3.251 -5.821 0.000
3.251 5.821 0.000
-2.089 0.000 6.482
Li Zr Cu Se
2 2 1 6
Direct
0.168 0.832 0.000 Li
0.832 0.168 0.000 Li
0.333 0.667 0.500 Zr
0.667 0.333 0.500 Zr
0.000 0.000 0.500 Cu
0.079 0.418 0.745 Se
0.234 0.234 0.272 Se
0.418 0.079 0.745 Se
0.582 0.921 0.255 Se
0.766 0.766 0.728 Se
0.921 0.582 0.255 Se
```


[19]
Entry from the Alexandria database: an optimized crystal structure of Li3Zr3CuSe8 (PBE).

Calculated values
As for the uncorrected formation energy: -1.116 eV per atom. The value obtained for the volume is 327 Å³ per cell. The crystal system is monoclinic.

```
Li3Zr3CuSe8
1.0
6.604 -3.820 0.000
6.604 3.820 0.000
-4.406 0.000 6.472
Li Zr Cu Se
3 3 1 8
Direct
0.000 0.000 0.000 Li
0.000 0.500 0.000 Li
0.500 0.000 0.000 Li
0.000 0.500 0.500 Zr
0.500 0.000 0.500 Zr
0.500 0.500 0.500 Zr
0.000 0.000 0.500 Cu
0.243 0.243 0.737 Se
0.245 0.749 0.738 Se
0.249 0.249 0.248 Se
0.251 0.755 0.262 Se
0.749 0.245 0.738 Se
0.751 0.751 0.752 Se
0.755 0.251 0.262 Se
0.757 0.757 0.263 Se
```


[20]
Entry from the Alexandria database: an optimized crystal structure of LiCu2Si (PBE).

Calculated values
As for the uncorrected formation energy: -0.113 eV per atom. The value obtained for the volume is 48 Å³ per cell. The crystal system is cubic.

```
LiCu2Si
1.0
0.000 2.892 2.892
2.892 0.000 2.892
2.892 2.892 0.000
Li Cu Si
1 2 1
Direct
0.000 0.000 0.000 Li
0.500 0.500 0.500 Cu
0.750 0.750 0.750 Cu
0.250 0.250 0.250 Si
```


[21]
Entry from the Alexandria database: an optimized crystal structure of Li3Cu5Si2 (PBE).

Calculated values
As for the uncorrected formation energy: -0.051 eV per atom. The value obtained for the volume is 279 Å³ per cell. The crystal system is orthorhombic.

```
Li3Cu5Si2
1.0
-4.426 6.565 2.404
4.426 -6.565 2.404
4.426 6.565 -2.404
Li Cu Si
6 10 4
Direct
0.159 0.237 0.396 Li
0.250 0.250 0.000 Li
0.341 0.737 0.077 Li
0.659 0.263 0.923 Li
0.750 0.750 0.000 Li
0.841 0.763 0.604 Li
0.063 0.724 0.787 Cu
0.067 0.750 0.317 Cu
0.250 0.750 0.500 Cu
0.433 0.750 0.683 Cu
0.437 0.224 0.661 Cu
0.563 0.776 0.339 Cu
0.567 0.250 0.317 Cu
0.750 0.250 0.500 Cu
0.933 0.250 0.683 Cu
0.937 0.276 0.213 Cu
0.169 0.931 0.100 Si
0.331 0.431 0.762 Si
0.669 0.569 0.238 Si
0.831 0.069 0.900 Si
```